No. 1
Density functional theory data (PBE) for crystalline Y2ErTl2Zn2 at its relaxed geometry.

Properties
Its energy of formation is -0.160 eV per atom.

Lattice parameters (Å, degrees): 4.7213 4.7213 9.5607 75.71 75.71 60.00
With the nearest neighbours (Å) after each atom.
Sites, in units of the cell vectors:
Zn: 0.6108 0.6108 0.1675  3 Tl 2.76
Tl: 0.7379 0.7379 0.7863  3 Zn 2.76
Zn: 0.3892 0.3892 0.8325  3 Tl 2.76
Er: 0.0000 0.0000 0.0000  6 Zn 3.13, 6 Tl 3.36, 2 Y 3.47
Y: 0.1262 0.1262 0.6214  3 Tl 3.12, 3 Zn 3.34, 1 Er 3.47
Tl: 0.2621 0.2621 0.2137  3 Zn 2.76
Y: 0.8738 0.8738 0.3786  3 Tl 3.12, 3 Zn 3.34, 1 Er 3.47

=====

No. 2
Density functional theory data (PBE) for crystalline Be4IrAu at its relaxed geometry.

Properties
Its energy of formation is -0.218 eV per atom.

Lattice parameters (Å, degrees): 4.4671 4.4671 4.4671 60.00 60.00 60.00
With the nearest neighbours (Å) after each atom.
Sites, in units of the cell vectors:
Be: 0.6244 0.6244 0.6244  6 Be 2.22-2.24
Be: 0.6244 0.6244 0.1267  6 Be 2.22-2.24
Ir: 0.2500 0.2500 0.2500  12 Be 2.62, 4 Au 2.74
Be: 0.1267 0.6244 0.6244  6 Be 2.22-2.24
Be: 0.6244 0.1267 0.6244  6 Be 2.22-2.24
Au: 0.0000 0.0000 0.0000  12 Be 2.62, 4 Ir 2.74

=====

| no. | E_tot (eV/cell) |
| --- | --- |
| 1 | -25.89 |
| 2 | -28.35 |